CaLa2W: optimized geometry, GGA-PBE.

Spin magnetization = 0.00 μB/cell
Density of states at the Fermi level = 5.30 states/eV/cell
Energy = -5.62 eV per atom

a b c (Å): 6.8262 6.8262 6.8262
angles (deg): 148.41 132.63 58.06
Closest atoms and distances in Å follow each position.
Fractional coordinates of all 4 atoms:
W: 0.5168 0.5168 0.0000  2 La 2.77
Ca: 0.2977 0.7977 0.5000  2 W 3.21, 4 La 3.56
La: 0.9966 0.9966 0.0000  4 W 3.32, 4 La 3.58-3.72, 2 Ca 3.63
La: 0.6889 0.1889 0.5000  2 W 2.77

=====

CaLa2W: optimized geometry, GGA-PBE.

Spin magnetization = 0.00 μB/cell
Density of states at the Fermi level = 3.66 states/eV/cell
Energy = -5.66 eV per atom

a b c (Å): 6.8136 6.8136 6.0329
angles (deg): 63.77 63.77 29.79
Closest atoms and distances in Å follow each position.
Fractional coordinates of all 4 atoms:
Ca: 0.2500 0.2500 0.2500  4 W 3.49, 2 Ca 3.50, 4 La 3.77-3.78
La: 0.0561 0.0561 0.9439  2 W 2.87
W: 0.7500 0.7500 0.7500  4 La 2.87
La: 0.4439 0.4439 0.5561  2 W 2.87